Na2BeB: relaxed, PBE.

Lattice parameters (Å, degrees): 4.573 4.573 4.573 60.00 60.00 60.00
Element x y z (fractional)
Na 0.250 0.250 0.250
Na 0.750 0.750 0.750
Be 0.000 0.000 0.000
B 0.500 0.500 0.500

Computed properties:
Density of states at the Fermi level (states/eV/atom): 0.575
Calculated volume (Å³/cell): 67.6
Size of the total moment (Bohr magnetons per cell): 0.00
Formation energy (kJ/mol of atoms): 123.82
Electronic total energy (eV/atom): -1.98
Offset from the most stable computed form (meV per atom): 782

Nd2InCu2Rh5: relaxed, PBE.

Lattice parameters (Å, degrees): 3.894 9.501 9.501 90.00 90.00 90.00
Element x y z (fractional)
Rh 0.500 0.568 0.710
Rh 0.500 0.068 0.790
Rh 0.500 0.932 0.210
Rh 0.500 0.790 0.932
Rh 0.500 0.710 0.432
Rh 0.500 0.290 0.568
Rh 0.500 0.500 0.000
Rh 0.500 0.000 0.500
Rh 0.500 0.432 0.290
Rh 0.500 0.210 0.068
Cu 0.000 0.881 0.381
Cu 0.000 0.119 0.619
Cu 0.000 0.381 0.119
Cu 0.000 0.619 0.881
Nd 0.000 0.677 0.177
Nd 0.000 0.823 0.677
Nd 0.000 0.323 0.823
Nd 0.000 0.177 0.323
In 0.000 0.000 0.000
In 0.000 0.500 0.500

Computed properties:
Density of states at the Fermi level (states/eV/atom): 0.912
Calculated volume (Å³/cell): 351.5
Size of the total moment (Bohr magnetons per cell): 0.00
Formation energy (kJ/mol of atoms): -41.64
Electronic total energy (eV/atom): -6.15